Record 1
The following is a meta-GGA SCAN calculation of La2YAg2 at its PBEsol-relaxed geometry, from Alexandria.

## Properties
Energy of formation from the pure elements = -0.260 eV per atom
Crystal system = tetragonal
Space-group type = P4/mbm, No. 127

a = 3.904 Å, b = 8.401 Å, c = 8.401 Å
α = 90.00°, β = 90.00°, γ = 90.00°
Atoms (fractional coordinates):
Y 0.000 0.000 0.000
Y 0.000 0.500 0.500
Ag 0.000 0.377 0.877
Ag 0.000 0.877 0.623
Ag 0.000 0.623 0.123
Ag 0.000 0.123 0.377
La 0.500 0.173 0.673
La 0.500 0.673 0.827
La 0.500 0.827 0.327
La 0.500 0.327 0.173



Record 2
The following is a meta-GGA SCAN calculation of LaY2Ag at its PBEsol-relaxed geometry, from Alexandria.

## Properties
Distance to the lowest polymorph of the same formula = 0.00 eV/f.u.
Energy of formation from the pure elements = -0.161 eV per atom
Crystal system = tetragonal
Space-group type = P4/mmm, No. 123

a = 3.605 Å, b = 3.605 Å, c = 8.497 Å
α = 90.00°, β = 90.00°, γ = 90.00°
Atoms (fractional coordinates):
Y 0.000 0.000 0.795
Y 0.000 0.000 0.205
Ag 0.500 0.500 0.000
La 0.500 0.500 0.500



Record 3
The following is a meta-GGA SCAN calculation of LaZn2Ag at its PBEsol-relaxed geometry, from Alexandria.

## Properties
Energy of formation from the pure elements = -0.164 eV per atom
Crystal system = tetragonal
Space-group type = P4/mmm, No. 123

a = 3.315 Å, b = 3.315 Å, c = 7.104 Å
α = 90.00°, β = 90.00°, γ = 90.00°
Atoms (fractional coordinates):
Ag 0.500 0.500 0.000
La 0.500 0.500 0.500
Zn 0.000 0.000 0.806
Zn 0.000 0.000 0.194



Record 4
The following is a meta-GGA SCAN calculation of LaZn3Ag at its PBEsol-relaxed geometry, from Alexandria.

## Properties
Energy of formation from the pure elements = 1.143 eV per atom
Crystal system = cubic
Space-group type = Pm-3m, No. 221

a = 5.540 Å, b = 5.540 Å, c = 5.540 Å
α = 90.00°, β = 90.00°, γ = 90.00°
Each line ends with the local moment (μB).
Atoms (fractional coordinates):
Zn 0.000 0.500 0.000  0.06
Zn 0.000 0.000 0.500  0.06
Zn 0.500 0.000 0.000  0.06
Ag 0.500 0.500 0.500  -0.02
La 0.000 0.000 0.000  0.38



Record 5
The following is a meta-GGA SCAN calculation of LaZnAg2 at its PBEsol-relaxed geometry, from Alexandria.

## Properties
Energy of formation from the pure elements = -0.246 eV per atom
Crystal system = trigonal
Space-group type = R3m, No. 160

a = 4.593 Å, b = 4.593 Å, c = 5.401 Å
α = 64.84°, β = 64.84°, γ = 60.00°
Atoms (fractional coordinates):
Zn 0.711 0.711 0.868
Ag 0.017 0.017 0.949
Ag 0.280 0.280 0.159
La 0.496 0.496 0.512



Record 6
The following is a meta-GGA SCAN calculation of La2ZnAg2 at its PBEsol-relaxed geometry, from Alexandria.

## Properties
Energy of formation from the pure elements = -0.264 eV per atom
Crystal system = tetragonal
Space-group type = P4/mbm, No. 127

a = 4.202 Å, b = 7.691 Å, c = 7.691 Å
α = 90.00°, β = 90.00°, γ = 90.00°
Atoms (fractional coordinates):
Zn 0.000 0.000 0.000
Zn 0.000 0.500 0.500
Ag 0.000 0.372 0.872
Ag 0.000 0.872 0.628
Ag 0.000 0.628 0.128
Ag 0.000 0.128 0.372
La 0.500 0.176 0.676
La 0.500 0.676 0.824
La 0.500 0.824 0.324
La 0.500 0.324 0.176



Record 7
The following is a meta-GGA SCAN calculation of LaZnAg at its PBEsol-relaxed geometry, from Alexandria.

## Properties
Energy of formation from the pure elements = -0.389 eV per atom
Crystal system = hexagonal
Space-group type = P-6m2, No. 187

a = 3.502 Å, b = 4.687 Å, c = 4.687 Å
α = 120.00°, β = 90.00°, γ = 90.00°
Atoms (fractional coordinates):
Zn 0.500 0.667 0.333
Ag 0.500 0.000 0.000
La 0.000 0.333 0.667



Record 8
The following is a meta-GGA SCAN calculation of LaZn2Ag at its PBEsol-relaxed geometry, from Alexandria.

## Properties
Energy of formation from the pure elements = -0.241 eV per atom
Crystal system = orthorhombic
Space-group type = Imm2, No. 44

a = 4.725 Å, b = 4.859 Å, c = 4.859 Å
α = 61.87°, β = 60.91°, γ = 60.91°
Atoms (fractional coordinates):
Zn 0.018 0.982 0.982
Zn 0.746 0.754 0.754
Ag 0.486 0.514 0.514
La 0.251 0.249 0.249



Record 9
The following is a meta-GGA SCAN calculation of La2ZnAg at its PBEsol-relaxed geometry, from Alexandria.

## Properties
Energy of formation from the pure elements = -0.335 eV per atom
Crystal system = tetragonal
Space-group type = P4/mmm, No. 123

a = 3.717 Å, b = 5.265 Å, c = 5.265 Å
α = 90.00°, β = 90.00°, γ = 90.00°
Atoms (fractional coordinates):
Zn 0.500 0.000 0.000
Ag 0.500 0.500 0.500
La 0.000 0.500 0.000
La 0.000 0.000 0.500



Record 10
The following is a meta-GGA SCAN calculation of La2ZnAg at its PBEsol-relaxed geometry, from Alexandria.

## Properties
Energy of formation from the pure elements = -0.340 eV per atom
Crystal system = orthorhombic
Space-group type = Pmm2, No. 25

a = 3.669 Å, b = 4.937 Å, c = 5.447 Å
α = 90.00°, β = 89.98°, γ = 90.00°
Atoms (fractional coordinates):
Zn 0.375 0.000 0.454
Ag 0.375 0.500 0.790
La 0.875 0.000 0.930
La 0.875 0.500 0.326



Record 11
The following is a meta-GGA SCAN calculation of LaZn2Ag2 at its PBEsol-relaxed geometry, from Alexandria.

## Properties
Energy of formation from the pure elements = -0.249 eV per atom
Crystal system = tetragonal
Space-group type = I4/mmm, No. 139

a = 4.289 Å, b = 4.289 Å, c = 6.331 Å
α = 109.80°, β = 109.80°, γ = 90.00°
Atoms (fractional coordinates):
Zn 0.250 0.750 0.500
Zn 0.750 0.250 0.500
Ag 0.380 0.380 0.760
Ag 0.620 0.620 0.240
La 0.000 0.000 0.000



Record 12
The following is a meta-GGA SCAN calculation of LaZnAg4 at its PBEsol-relaxed geometry, from Alexandria.

## Properties
Energy of formation from the pure elements = -0.159 eV per atom
Crystal system = cubic
Space-group type = F-43m, No. 216

a = 5.497 Å, b = 5.497 Å, c = 5.497 Å
α = 60.00°, β = 60.00°, γ = 60.00°
Atoms (fractional coordinates):
Zn 0.000 0.000 0.000
Ag 0.374 0.374 0.374
Ag 0.374 0.374 0.878
Ag 0.878 0.374 0.374
Ag 0.374 0.878 0.374
La 0.750 0.750 0.750



Record 13
The following is a meta-GGA SCAN calculation of LaZnAg2 at its PBEsol-relaxed geometry, from Alexandria.

## Properties
Energy of formation from the pure elements = -0.196 eV per atom
Crystal system = cubic
Space-group type = F-43m, No. 216

a = 4.902 Å, b = 4.902 Å, c = 4.902 Å
α = 60.00°, β = 60.00°, γ = 60.00°
Atoms (fractional coordinates):
Zn 0.250 0.250 0.250
Ag 0.000 0.000 0.000
Ag 0.750 0.750 0.750
La 0.500 0.500 0.500



Record 14
The following is a meta-GGA SCAN calculation of LaZn2Ag at its PBEsol-relaxed geometry, from Alexandria.

## Properties
Energy of formation from the pure elements = -0.274 eV per atom
Crystal system = cubic
Space-group type = Fm-3m, No. 225

a = 4.821 Å, b = 4.821 Å, c = 4.821 Å
α = 60.00°, β = 60.00°, γ = 60.00°
Atoms (fractional coordinates):
Zn 0.250 0.250 0.250
Zn 0.750 0.750 0.750
Ag 0.000 0.000 0.000
La 0.500 0.500 0.500



Record 15
The following is a meta-GGA SCAN calculation of LaZnAg2 at its PBEsol-relaxed geometry, from Alexandria.

## Properties
Energy of formation from the pure elements = 0.123 eV per atom
Crystal system = monoclinic
Space-group type = C2/m, No. 12

a = 3.120 Å, b = 5.213 Å, c = 5.978 Å
α = 114.76°, β = 103.42°, γ = 93.79°
Atoms (fractional coordinates):
Ag 0.000 0.000 0.500
Ag 0.500 0.500 0.500
La 0.500 0.000 0.000
Zn 0.000 0.500 0.000